(1)
Below is a geometry-optimized NaAcBi structure, with properties calculated at the PBE-GGA level.

Geometry as POSCAR:
```
NaAcBi
1.0
4.5522 0.0000 0.0000
0.0000 5.1107 0.0000
0.0000 -2.5554 4.4260
Ac Na Bi
1 1 1
Direct
0.0000 0.0000 0.0000 Ac
0.5013 0.3333 0.6667 Na
0.4987 0.6667 0.3333 Bi
```

M_tot: 0.87 μB per formula unit
Offset from the most stable computed form: 0.000 eV per atom
Crystal system: trigonal
E_form: -0.450 eV/atom

***

(2)
Below is a geometry-optimized NaAcBi structure, with properties calculated at the PBE-GGA level.

Geometry as POSCAR:
```
NaAcBi
1.0
-2.4016 1.6157 3.4035
-7.2862 -4.3205 -3.0903
3.5501 -5.0507 1.9703
Bi Ac Na
2 2 2
Direct
0.0786 0.3226 0.1573 Bi
0.9214 0.6774 0.8427 Bi
0.6383 0.6281 0.2766 Ac
0.3617 0.3719 0.7234 Ac
0.3550 0.9175 0.7100 Na
0.6450 0.0825 0.2900 Na
```

M_tot: 0.00 μB per formula unit
Offset from the most stable computed form: 0.058 eV per atom
Crystal system: monoclinic
E_form: -0.392 eV/atom

***

(3)
Below is a geometry-optimized Na2AcBi structure, with properties calculated at the PBE-GGA level.

Geometry as POSCAR:
```
Na2AcBi
1.0
-3.0917 -0.6205 4.6987
-3.5275 -4.3957 0.5059
1.1784 -4.1700 3.6322
Na Ac Bi
2 1 1
Direct
0.7502 0.7502 0.7494 Na
0.2498 0.2498 0.2506 Na
0.5000 0.5000 0.5000 Ac
0.0000 0.0000 0.0000 Bi
```

M_tot: 0.00 μB per formula unit
Offset from the most stable computed form: 0.302 eV per atom
Crystal system: cubic
E_form: -0.074 eV/atom

***

(4)
Below is a geometry-optimized NaAcBi structure, with properties calculated at the PBE-GGA level.

Geometry as POSCAR:
```
NaAcBi
1.0
5.5219 0.0000 0.0000
2.7609 4.7821 0.0000
2.7609 1.5940 4.5086
Ac Bi Na
1 1 1
Direct
0.5000 0.5000 0.5000 Ac
0.2500 0.2500 0.2500 Bi
0.0000 0.0000 0.0000 Na
```

M_tot: 0.00 μB per formula unit
Offset from the most stable computed form: 0.020 eV per atom
Crystal system: cubic
E_form: -0.430 eV/atom

***

(5)
Below is a geometry-optimized Na2AcBi structure, with properties calculated at the PBE-GGA level.

Geometry as POSCAR:
```
Na2AcBi
1.0
5.9416 0.0000 0.0000
0.0000 4.8802 0.0000
0.0000 0.0000 4.8802
Na Ac Bi
2 1 1
Direct
0.0000 0.5000 0.0000 Na
0.0000 0.0000 0.5000 Na
0.5000 0.0000 0.0000 Ac
0.5000 0.5000 0.5000 Bi
```

M_tot: 0.00 μB per formula unit
Offset from the most stable computed form: 0.000 eV per atom
Crystal system: tetragonal
E_form: -0.377 eV/atom

***

(6)
Below is a geometry-optimized Na6AcBi4 structure, with properties calculated at the PBE-GGA level.

Geometry as POSCAR:
```
Na6AcBi4
1.0
3.7863 0.0000 0.0000
0.0000 10.5227 0.0000
0.0000 -5.2613 9.1129
Na Ac Bi
6 1 4
Direct
0.0000 0.9430 0.4715 Na
0.0000 0.5285 0.4715 Na
0.5000 0.1943 0.3887 Na
0.0000 0.5285 0.0570 Na
0.5000 0.1943 0.8057 Na
0.5000 0.6113 0.8057 Na
0.0000 0.0000 0.0000 Ac
0.0000 0.3333 0.6667 Bi
0.5000 0.8369 0.1631 Bi
0.5000 0.3262 0.1631 Bi
0.5000 0.8369 0.6738 Bi
```

M_tot: 0.00 μB per formula unit
Crystal system: hexagonal
E_form: -0.425 eV/atom

***

> Among the records above, which one has the highest M_tot?

number 1

***

> Which of these has the highest M_tot?

number 1

***

> Among the records above, which one has the highest M_tot?

number 1